Record 1
First-principles (PBE-GGA) data for TaZnCrPd after structural relaxation, as listed in Alexandria via LeMat-Bulk.

Cell: 2.754 2.754 7.763 Å, 90.00 90.00 90.00°
Space group P4mm (No. 99)
Unique sites:
Ta 0.000 0.000 0.000 [1 per cell]
Zn 0.500 0.500 0.737 [1 per cell]
Cr 0.000 0.000 0.509 [1 per cell]
Pd 0.500 0.500 0.277 [1 per cell]

Computed properties:
Formation enthalpy at 0 K: 0.09 eV per atom
Polymorph energy (0 for the lowest one): 225 meV per atom

---

Record 2
First-principles (PBE-GGA) data for TaZnCrPd after structural relaxation, as listed in Alexandria via LeMat-Bulk.

Cell: 2.768 4.905 4.969 Å, 67.50 74.54 88.77°
Space group P1 (No. 1)
Unique sites:
Ta 0.000 0.000 0.000 [1 per cell]
Zn 0.710 0.419 0.473 [1 per cell]
Cr 0.154 0.923 0.496 [1 per cell]
Pd 0.471 0.509 0.973 [1 per cell]

Computed properties:
Formation enthalpy at 0 K: 0.06 eV per atom
Polymorph energy (0 for the lowest one): 191 meV per atom

---

Record 3
First-principles (PBE-GGA) data for TaZnCrPd after structural relaxation, as listed in Alexandria via LeMat-Bulk.

Cell: 3.185 3.185 5.901 Å, 90.00 90.00 90.00°
Space group P4mm (No. 99)
Unique sites:
Ta 0.000 0.000 0.000 [1 per cell]
Zn 0.000 0.000 0.526 [1 per cell]
Cr 0.500 0.500 0.769 [1 per cell]
Pd 0.500 0.500 0.283 [1 per cell]

Computed properties:
Formation enthalpy at 0 K: -0.13 eV per atom
Polymorph energy (0 for the lowest one): 0 meV per atom

---

Going through the records in order, we get N(E_F) values of 2.602, 3.811, 2.631 states/eV/f.u..